Material: CsIn3Rh
Method: DFT, GGA-PBE
State: optimized geometry

## Properties
Uncorrected energy, eV per atom: -1.5220
Symmetry: No. 221
Energy of formation, meV per atom: 1762
Density of states at the Fermi level, states/eV/f.u.: 8.330

Unit cell a=6.2168 b=6.2168 c=6.2168 alpha=90.00 beta=90.00 gamma=90.00
With the nearest neighbours (Å) after each atom.
Fractional coordinates of all 5 atoms:
Cs: 0.0000 0.0000 0.0000  6 In 3.11
In: 0.0000 0.0000 0.5000  2 Cs 3.11
In: 0.0000 0.5000 0.0000  2 Cs 3.11
In: 0.5000 0.0000 0.0000  2 Cs 3.11
Rh: 0.5000 0.5000 0.5000  12 In 4.40



Material: CsIn2Rh
Method: DFT, GGA-PBE
State: optimized geometry

## Properties
Uncorrected energy, eV per atom: -3.4901
Symmetry: No. 123
Energy of formation, meV per atom: -70
Density of states at the Fermi level, states/eV/f.u.: 4.866

Unit cell a=3.3872 b=3.3872 c=9.3129 alpha=90.00 beta=90.00 gamma=90.00
With the nearest neighbours (Å) after each atom.
Fractional coordinates of all 4 atoms:
Cs: 0.0000 0.0000 0.0000  4 Cs 3.39
In: 0.5000 0.5000 0.3307  4 Rh 2.87, 1 In 3.15
In: 0.5000 0.5000 0.6693  4 Rh 2.87, 1 In 3.15
Rh: 0.0000 0.0000 0.5000  8 In 2.87



Material: CsInRh3
Method: DFT, GGA-PBE
State: optimized geometry

## Properties
Uncorrected energy, eV per atom: -3.2967
Symmetry: No. 221
Energy of formation, meV per atom: 1833
Density of states at the Fermi level, states/eV/f.u.: 9.636

Unit cell a=4.9939 b=4.9939 c=4.9939 alpha=90.00 beta=90.00 gamma=90.00
With the nearest neighbours (Å) after each atom.
Fractional coordinates of all 5 atoms:
Cs: 0.0000 0.0000 0.0000  6 Rh 2.50
In: 0.5000 0.5000 0.5000  12 Rh 3.53
Rh: 0.0000 0.0000 0.5000  2 Cs 2.50
Rh: 0.0000 0.5000 0.0000  2 Cs 2.50
Rh: 0.5000 0.0000 0.0000  2 Cs 2.50



Material: CsIn2Rh
Method: DFT, GGA-PBE
State: optimized geometry

## Properties
Uncorrected energy, eV per atom: -2.9095
Symmetry: No. 225
Energy of formation, meV per atom: 511
Density of states at the Fermi level, states/eV/f.u.: 3.529

Unit cell a=5.3880 b=5.3880 c=5.3880 alpha=60.00 beta=60.00 gamma=60.00
With the nearest neighbours (Å) after each atom.
Fractional coordinates of all 4 atoms:
Cs: 0.0000 0.0000 0.0000  8 In 3.30
In: 0.2500 0.2500 0.2500  4 Rh 3.30, 4 Cs 3.30
In: 0.7500 0.7500 0.7500  4 Rh 3.30, 4 Cs 3.30
Rh: 0.5000 0.5000 0.5000  8 In 3.30



Respective offset from the most stable computed form values: 1964.1, 0.0, 808.7, 580.6 meV per atom.